[1]
The following is a PBE-GGA calculation of a relaxed structure of Ba2Mn, from Alexandria via LeMat-Bulk.

Structure (extended XYZ):
```
6
Lattice="7.9954 0.0000 0.0000 0.0000 8.1442 0.0000 0.0000 0.0000 4.3528" Properties=species:S:1:pos:R:3 pbc="T T T"
Ba 1.8247 1.2970 0.0000
Ba 2.1730 5.3692 2.1764
Ba 5.8224 2.7751 2.1764
Ba 6.1707 6.8472 0.0000
Mn 0.0000 4.0721 0.0000
Mn 3.9977 0.0000 2.1764
```

Results
The value obtained for the calculated formation energy is 563 meV per atom. The symmetry is Pnnm. For the density of states at the Fermi level, the calculation gives 8.88 states/eV per cell.

[2]
The following is a PBE-GGA calculation of a relaxed structure of Ba3Mn, from Alexandria via LeMat-Bulk.

Structure (extended XYZ):
```
4
Lattice="-2.1556 3.2606 6.7329 2.1556 -3.2606 6.7329 2.1556 3.2606 -6.7329" Properties=species:S:1:pos:R:3 pbc="T T T"
Ba 0.0000 0.0000 0.0000
Ba 2.1556 0.0000 4.0643
Ba 0.0000 3.2606 2.6686
Mn 0.0000 0.0000 6.7329
```

Results
The value obtained for the calculated formation energy is 382 meV per atom. The symmetry is Immm. For the density of states at the Fermi level, the calculation gives 5.85 states/eV per cell.